DFT (PBE) results for a geometry-optimized KSc2Co structure.

Structure (CIF):
```
data_KSc2Co
_cell_length_a 4.910
_cell_length_b 4.910
_cell_length_c 4.910
_cell_angle_alpha 60.00
_cell_angle_beta 60.00
_cell_angle_gamma 60.00
_space_group_name_H-M_alt 'P 1'
_space_group_IT_number 1
loop_
_space_group_symop_operation_xyz
'x,y,z'
loop_
_atom_site_label
_atom_site_type_symbol
_atom_site_fract_x
_atom_site_fract_y
_atom_site_fract_z
Sc1 Sc 0.250 0.250 0.250
Sc2 Sc 0.750 0.750 0.750
K1 K 0.000 0.000 0.000
Co1 Co 0.500 0.500 0.500
```

Spin magnetization = 0.00 μB/f.u.
Space-group type = Fm-3m (225)
ΔH_f (0 K) = 2.67 eV per formula unit
Relative energy among the computed polymorphs = 0.603 eV per atom